(1)
The following is a DFT calculation (PBE-GGA) of a geometry-optimized VPtSe2 structure.

Unit cell a=3.6859 b=3.6859 c=23.1388 alpha=90.00 beta=90.00 gamma=120.00
Closest atoms and distances in Å follow each position.
Space group R-3m (No. 166, hexagonal axes)
Symmetry-distinct sites (fractional):
V 0.0000 0.0000 0.0000 (multiplicity 3)  2 Se 2.47
Pt 0.0000 0.0000 0.5000 (multiplicity 3)  6 Se 2.54
Se 0.0000 0.0000 0.1065 (multiplicity 6)  1 V 2.47, 3 Pt 2.54

Output
energy above the lowest structure with this stoichiometry = 0.556 eV/atom
ΔE_f (raw) = 0.18 eV/atom

=====

(2)
The following is a DFT calculation (PBE-GGA) of a geometry-optimized V2PtSe structure.

Unit cell a=6.8264 b=6.8264 c=5.4360 alpha=90.00 beta=90.00 gamma=90.00
Closest atoms and distances in Å follow each position.
Space group I-42d (No. 122)
Symmetry-distinct sites (fractional):
V 0.2348 0.2500 0.1250 (multiplicity 8)  2 Se 2.44, 2 Pt 2.58, 2 V 2.73
Pt 0.0000 0.0000 0.5000 (multiplicity 4)  4 V 2.58, 2 Se 2.72
Se 0.0000 0.0000 0.0000 (multiplicity 4)  4 V 2.44, 2 Pt 2.72

Output
ΔE_f (raw) = -0.01 eV/atom

=====

(3)
The following is a DFT calculation (PBE-GGA) of a geometry-optimized VPtSe2 structure.

Unit cell a=5.5873 b=5.5873 c=11.6257 alpha=90.00 beta=90.00 gamma=90.00
Closest atoms and distances in Å follow each position.
Space group I-42d (No. 122)
Symmetry-distinct sites (fractional):
V 0.0000 0.0000 0.0000 (multiplicity 4)  4 Se 2.41
Pt 0.0000 0.0000 0.5000 (multiplicity 4)  4 Se 2.49
Se 0.2369 0.2500 0.1250 (multiplicity 8)  2 V 2.41, 2 Pt 2.49

Output
energy above the lowest structure with this stoichiometry = 0.184 eV/atom
ΔE_f (raw) = -0.19 eV/atom

=====

(4)
The following is a DFT calculation (PBE-GGA) of a geometry-optimized VPtSe4 structure.

Unit cell a=3.5991 b=5.9568 c=6.8111 alpha=80.69 beta=74.88 gamma=89.99
Closest atoms and distances in Å follow each position.
Space group P1 (No. 1)
Symmetry-distinct sites (fractional):
V 0.0000 0.0000 0.0000 (multiplicity 1)  6 Se 2.38-2.61
Pt 0.4948 0.5800 0.0103 (multiplicity 1)  6 Se 2.51-2.58
Se 0.0943 0.4209 0.8087 (multiplicity 1)  2 Pt 2.51, 1 V 2.61
Se 0.3983 0.1745 0.2060 (multiplicity 1)  1 Pt 2.54, 2 V 2.57
Se 0.6249 0.9528 0.7465 (multiplicity 1)  2 V 2.50, 1 Pt 2.58
Se 0.8694 0.6745 0.2646 (multiplicity 1)  1 V 2.38, 2 Pt 2.58

Output
energy above the lowest structure with this stoichiometry = 0.000 eV/atom
ΔE_f (raw) = -0.49 eV/atom

=====

(5)
The following is a DFT calculation (PBE-GGA) of a geometry-optimized VPt2Se structure.

Unit cell a=6.0044 b=6.0044 c=9.6433 alpha=90.00 beta=90.00 gamma=90.00
Closest atoms and distances in Å follow each position.
Space group I-42d (No. 122)
Symmetry-distinct sites (fractional):
V 0.0000 0.0000 0.0000 (multiplicity 4)  4 Pt 2.38
Pt 0.2341 0.2500 0.1250 (multiplicity 8)  2 V 2.38, 2 Se 2.50
Se 0.0000 0.0000 0.5000 (multiplicity 4)  4 Pt 2.50

Output
ΔE_f (raw) = 0.19 eV/atom

=====

(6)
The following is a DFT calculation (PBE-GGA) of a geometry-optimized VPt3Se structure.

Unit cell a=4.6704 b=4.6704 c=4.6704 alpha=90.00 beta=90.00 gamma=90.00
Closest atoms and distances in Å follow each position.
Space group Pm-3m (No. 221)
Symmetry-distinct sites (fractional):
V 0.0000 0.0000 0.0000 (multiplicity 1)  12 Pt 3.30
Pt 0.0000 0.5000 0.5000 (multiplicity 3)  2 Se 2.34
Se 0.5000 0.5000 0.5000 (multiplicity 1)  6 Pt 2.34

Output
energy above the lowest structure with this stoichiometry = 0.000 eV/atom
ΔE_f (raw) = 0.69 eV/atom

=====

(7)
The following is a DFT calculation (PBE-GGA) of a geometry-optimized VPtSe4 structure.

Unit cell a=5.9141 b=3.5997 c=6.3253 alpha=90.00 beta=90.13 gamma=90.00
Closest atoms and distances in Å follow each position.
Space group P2/m (No. 10)
Symmetry-distinct sites (fractional):
V 0.0000 0.0000 0.0000 (multiplicity 1)  6 Se 2.52-2.54
Pt 0.0000 0.5000 0.5000 (multiplicity 1)  6 Se 2.53-2.56
Se 0.2392 0.0000 0.3310 (multiplicity 2)  1 V 2.52, 2 Pt 2.53
Se 0.2445 0.5000 0.8339 (multiplicity 2)  2 V 2.54, 1 Pt 2.56

Output
energy above the lowest structure with this stoichiometry = 0.039 eV/atom
ΔE_f (raw) = -0.45 eV/atom

=====

(8)
The following is a DFT calculation (PBE-GGA) of a geometry-optimized VPtW2Se structure.

Unit cell a=4.8005 b=4.8005 c=4.8588 alpha=90.00 beta=90.00 gamma=90.00
Closest atoms and distances in Å follow each position.
Space group P4/mmm (No. 123)
Symmetry-distinct sites (fractional):
V 0.0000 0.0000 0.0000 (multiplicity 1)  4 Se 3.39, 8 W 3.42
Pt 0.5000 0.5000 0.5000 (multiplicity 1)  4 W 2.40, 2 Se 2.43
W 0.0000 0.5000 0.5000 (multiplicity 2)  2 Pt 2.40
Se 0.5000 0.5000 0.0000 (multiplicity 1)  2 Pt 2.43

Output
ΔE_f (raw) = 2.13 eV/atom

=====

What did the seventh record say?
The following is a DFT calculation (PBE-GGA) of a geometry-optimized VPtSe4 structure.

Unit cell a=5.9141 b=3.5997 c=6.3253 alpha=90.00 beta=90.13 gamma=90.00
Closest atoms and distances in Å follow each position.
Space group P2/m (No. 10)
Symmetry-distinct sites (fractional):
V 0.0000 0.0000 0.0000 (multiplicity 1)  6 Se 2.52-2.54
Pt 0.0000 0.5000 0.5000 (multiplicity 1)  6 Se 2.53-2.56
Se 0.2392 0.0000 0.3310 (multiplicity 2)  1 V 2.52, 2 Pt 2.53
Se 0.2445 0.5000 0.8339 (multiplicity 2)  2 V 2.54, 1 Pt 2.56

Output
energy above the lowest structure with this stoichiometry = 0.039 eV/atom
ΔE_f (raw) = -0.45 eV/atom